# 1
TlReIrI2: relaxed, PBE.

* energy: -2.95 eV/atom

Cell: 6.178 6.178 5.490 Å, 90.00 90.00 90.00°
Fractional coordinates of all 5 atoms:
Ir 0.500 0.500 0.500
Tl 0.000 0.000 0.000
I 0.000 0.500 0.000
Re 0.000 0.000 0.500
I 0.500 0.000 0.000

=====

# 2
YNiSeN2: relaxed, PBE.

* energy above the most stable polymorph in this dataset: 83.7 kJ/mol of atoms

Cell: 4.368 4.368 5.721 Å, 90.00 90.00 90.00°
Fractional coordinates of all 5 atoms:
N 0.500 0.000 0.000
Y 0.000 0.000 0.000
Ni 0.500 0.500 0.500
Se 0.000 0.000 0.500
N 0.000 0.500 0.000

=====

> What is the formula in the first record?

TlReIrI2